PBE Li3Pr3Cd8, optimized geometry; ρ = 6.59 g cm⁻³; ΔH_f (0 K) = -0.277 eV/atom
1.0
-0.230 -4.438 2.349
8.552 -2.498 1.496
3.640 1.288 8.167
Pr Cd Li
3 8 3
direct
0.230 0.770 0.770
0.500 0.500 0.500
0.770 0.230 0.230
0.638 0.677 0.048
0.362 0.952 0.323
0.853 0.801 0.493
0.147 0.507 0.199
0.638 0.048 0.677
0.853 0.493 0.801
0.362 0.323 0.952
0.147 0.199 0.507
0.000 0.837 0.163
0.500 0.000 0.000
0.000 0.163 0.837

PBE LiPrCd6, optimized geometry; ρ = 7.28 g cm⁻³; E above lowest polymorph = 0.0 kJ per mole of atoms; ΔH_f (0 K) = -0.213 eV/atom
1.0
4.697 0.000 0.000
0.000 4.697 0.000
0.000 0.000 8.504
Cd Pr Li
6 1 1
direct
0.500 0.500 0.500
0.000 0.500 0.728
0.500 0.000 0.272
0.500 0.000 0.728
0.500 0.500 0.000
0.000 0.500 0.272
0.000 0.000 0.000
0.000 0.000 0.500

PBE Li5PrCd7, optimized geometry; ρ = 6.00 g cm⁻³; ΔH_f (0 K) = -0.234 eV/atom
1.0
-1.386 -2.310 4.554
-4.485 -5.956 -1.312
5.006 -5.359 1.879
Cd Li Pr
7 5 1
direct
0.648 0.352 0.352
0.285 0.215 0.215
0.996 0.654 0.355
0.505 0.788 0.201
0.505 0.201 0.788
0.996 0.355 0.654
0.343 0.657 0.657
0.498 0.500 0.000
0.724 0.776 0.776
0.001 0.500 0.000
0.001 0.000 0.500
0.498 0.000 0.500
0.998 0.002 0.002

PBE LiPrCd3, optimized geometry; ρ = 6.82 g cm⁻³; E above lowest polymorph = 5.3 kJ per mole of atoms; ΔH_f (0 K) = -0.153 eV/atom
1.0
-1.620 1.915 4.218
3.720 -2.125 2.394
2.760 3.988 -0.751
Cd Li Pr
3 1 1
direct
0.000 0.500 0.000
0.500 0.000 0.000
0.000 0.000 0.500
0.000 0.000 0.000
0.500 0.500 0.500

PBE Li2PrCd, optimized geometry; ρ = 4.46 g cm⁻³; E above lowest polymorph = 14.9 kJ per mole of atoms; ΔH_f (0 K) = 0.030 eV/atom
1.0
-0.074 0.166 4.237
4.148 -2.492 0.170
2.496 4.147 -0.118
Li Cd Pr
2 1 1
direct
0.000 0.000 0.500
0.000 0.500 0.000
0.500 0.000 0.000
0.500 0.500 0.500

PBE Li3PrCd3, optimized geometry; ρ = 5.32 g cm⁻³; E above lowest polymorph = 0.0 kJ per mole of atoms; ΔH_f (0 K) = -0.145 eV/atom
1.0
-6.922 -2.970 0.108
-1.297 -6.650 -3.294
-1.387 -6.164 4.375
Cd Li Pr
6 6 2
direct
0.074 0.567 0.631
0.567 0.729 0.631
0.433 0.271 0.369
0.271 0.926 0.369
0.729 0.074 0.631
0.926 0.433 0.369
0.281 0.062 0.808
0.848 0.281 0.808
0.938 0.152 0.192
0.152 0.719 0.192
0.062 0.848 0.808
0.719 0.938 0.192
0.651 0.651 0.048
0.349 0.349 0.952

PBE LiPr3Cd4, optimized geometry; ρ = 6.73 g cm⁻³; ΔH_f (0 K) = -0.275 eV/atom
1.0
3.762 0.000 0.000
0.000 3.762 0.000
0.000 0.000 15.326
Pr Cd Li
3 4 1
direct
0.500 0.500 0.237
0.500 0.500 0.763
0.500 0.500 0.500
0.000 0.000 0.101
0.000 0.000 0.899
0.000 0.000 0.631
0.000 0.000 0.369
0.500 0.500 0.000

PBE Li3PrCd3, optimized geometry; ρ = 4.81 g cm⁻³; E above lowest polymorph = 26.7 kJ per mole of atoms; ΔH_f (0 K) = 0.133 eV/atom
1.0
7.009 0.000 0.000
0.000 7.009 0.000
0.000 0.000 7.009
Li Pr Cd
6 2 6
direct
0.000 0.250 0.500
0.750 0.500 0.000
0.500 0.000 0.750
0.500 0.000 0.250
0.000 0.750 0.500
0.250 0.500 0.000
0.500 0.500 0.500
0.000 0.000 0.000
0.500 0.250 0.000
0.000 0.500 0.750
0.500 0.750 0.000
0.750 0.000 0.500
0.250 0.000 0.500
0.000 0.500 0.250

PBE LiPr2Cd6, optimized geometry; ρ = 7.07 g cm⁻³; ΔH_f (0 K) = -0.265 eV/atom
1.0
-0.500 -2.974 -1.500
-2.509 -3.467 7.696
-8.477 0.222 2.375
Cd Pr Li
6 2 1
direct
0.500 0.675 0.325
0.500 0.325 0.675
0.501 0.000 0.325
0.501 0.325 0.000
0.499 0.675 0.000
0.499 0.000 0.675
0.000 0.333 0.333
0.000 0.667 0.667
0.000 0.000 0.000

PBE Li2Pr3Cd4, optimized geometry; ρ = 6.42 g cm⁻³; E above lowest polymorph = 0.0 kJ per mole of atoms; ΔH_f (0 K) = -0.256 eV/atom
1.0
5.121 0.000 0.000
-2.561 5.044 -2.308
0.000 -1.236 9.434
Cd Li Pr
4 2 3
direct
0.060 0.121 0.388
0.280 0.561 0.940
0.720 0.439 0.060
0.940 0.879 0.612
0.386 0.772 0.719
0.614 0.228 0.281
0.665 0.330 0.667
0.335 0.670 0.333
0.000 0.000 0.000

PBE LiPr6Cd, optimized geometry; ρ = 6.23 g cm⁻³; E above lowest polymorph = 10.1 kJ per mole of atoms; ΔH_f (0 K) = 0.046 eV/atom
1.0
-1.212 9.227 0.290
-1.433 4.276 7.450
2.846 4.983 2.777
Cd Pr Li
1 6 1
direct
0.500 0.500 0.500
0.036 0.450 0.760
0.246 0.037 0.267
0.964 0.550 0.240
0.754 0.963 0.733
0.450 0.754 0.832
0.550 0.246 0.168
0.000 0.000 0.000

PBE LiPrCd6, optimized geometry; ρ = 7.07 g cm⁻³; E above lowest polymorph = 7.6 kJ per mole of atoms; ΔH_f (0 K) = -0.134 eV/atom
1.0
4.531 0.000 0.000
0.000 4.531 0.000
0.000 0.000 9.409
Cd Pr Li
6 1 1
direct
0.000 0.500 0.335
0.500 0.000 0.335
0.500 0.500 0.856
0.000 0.500 0.665
0.500 0.500 0.144
0.500 0.000 0.665
0.000 0.000 0.000
0.000 0.000 0.500

PBE Li4PrCd12, optimized geometry; ρ = 6.10 g cm⁻³; ΔH_f (0 K) = 0.047 eV/atom
1.0
-3.100 -1.073 7.434
8.102 -0.509 0.345
-2.137 7.325 -2.794
Li Cd Pr
4 12 1
direct
0.500 0.000 0.000
0.000 0.000 0.500
0.000 0.500 0.000
0.500 0.500 0.500
0.186 0.842 0.345
0.503 0.158 0.345
0.158 0.655 0.814
0.814 0.158 0.655
0.655 0.814 0.158
0.345 0.186 0.842
0.158 0.345 0.503
0.345 0.503 0.158
0.842 0.655 0.497
0.497 0.842 0.655
0.842 0.345 0.186
0.655 0.497 0.842
0.000 0.000 0.000

PBE LiPrCd2, optimized geometry; ρ = 6.25 g cm⁻³; E above lowest polymorph = 0.0 kJ per mole of atoms; ΔH_f (0 K) = -0.282 eV/atom
1.0
-2.747 4.407 0.032
-4.211 0.457 -3.004
-4.726 0.099 2.151
Li Pr Cd
1 1 2
direct
0.500 0.500 0.500
0.000 0.000 0.000
0.750 0.750 0.750
0.250 0.250 0.250

PBE LiPrCd2, optimized geometry; ρ = 5.92 g cm⁻³; E above lowest polymorph = 8.1 kJ per mole of atoms; ΔH_f (0 K) = -0.198 eV/atom
1.0
-1.686 3.154 -0.381
-4.704 -2.379 1.123
0.732 1.025 5.240
Pr Cd Li
1 2 1
direct
0.500 0.000 0.000
0.000 0.500 0.000
0.000 0.000 0.500
0.500 0.500 0.500

PBE LiPr3Cd3, optimized geometry; ρ = 6.63 g cm⁻³; ΔH_f (0 K) = -0.234 eV/atom
1.0
-1.998 3.431 3.182
-0.586 -2.522 2.352
11.050 1.264 1.508
Pr Cd Li
3 3 1
direct
0.698 0.198 0.396
0.001 0.001 0.002
0.302 0.802 0.604
0.141 0.641 0.281
0.563 0.563 0.126
0.863 0.363 0.727
0.432 0.432 0.865

PBE Li4Pr2Cd5, optimized geometry; ρ = 5.67 g cm⁻³; ΔH_f (0 K) = -0.172 eV/atom
1.0
-2.975 0.591 5.298
-1.351 -4.553 3.266
5.970 1.028 6.755
Li Cd Pr
4 5 2
direct
0.785 0.697 0.734
0.215 0.303 0.266
0.518 0.697 0.266
0.482 0.303 0.734
0.000 0.500 0.000
0.750 0.500 0.500
0.500 0.000 0.000
0.500 0.500 0.000
0.250 0.500 0.500
0.125 0.000 0.750
0.875 0.000 0.250

PBE Li2Pr3Cd3, optimized geometry; ρ = 6.00 g cm⁻³; ΔH_f (0 K) = -0.199 eV/atom
1.0
-3.368 1.116 -1.837
-1.852 -5.042 0.334
-1.510 4.062 9.579
Cd Pr Li
3 3 2
direct
0.000 0.500 0.000
0.142 0.142 0.284
0.858 0.858 0.716
0.368 0.368 0.736
0.632 0.632 0.264
0.500 0.000 0.000
0.739 0.239 0.479
0.261 0.761 0.521

PBE Li2PrCd3, optimized geometry; ρ = 5.96 g cm⁻³; ΔH_f (0 K) = -0.252 eV/atom
1.0
-3.209 -0.540 -3.517
2.953 -3.603 1.124
-9.214 -4.705 9.129
Pr Cd Li
2 6 4
direct
0.000 0.000 0.750
0.000 0.000 0.250
0.667 0.333 0.874
0.667 0.333 0.626
0.000 0.000 0.000
0.333 0.667 0.374
0.333 0.667 0.126
0.000 0.000 0.500
0.333 0.667 0.575
0.667 0.333 0.425
0.667 0.333 0.075
0.333 0.667 0.925

PBE LiPrCd14, optimized geometry; ρ = 7.70 g cm⁻³; ΔH_f (0 K) = -0.098 eV/atom
1.0
-1.538 5.880 2.601
-6.426 -1.311 -0.834
-0.290 -3.496 7.734
Cd Pr Li
14 1 1
direct
0.615 0.135 0.755
0.135 0.615 0.245
0.375 0.875 0.000
0.375 0.875 0.500
0.135 0.135 0.755
0.615 0.615 0.755
0.135 0.135 0.245
0.875 0.875 0.000
0.615 0.615 0.245
0.375 0.375 0.000
0.615 0.135 0.245
0.875 0.375 0.000
0.135 0.615 0.755
0.875 0.375 0.500
0.875 0.875 0.500
0.375 0.375 0.500

PBE LiPrCd5, optimized geometry; ρ = 6.49 g cm⁻³; ΔH_f (0 K) = -0.112 eV/atom
1.0
5.347 -0.166 0.000
-1.897 5.002 0.000
0.000 0.000 6.877
Cd Pr Li
5 1 1
direct
0.000 0.000 0.500
0.000 0.500 0.732
0.500 0.000 0.268
0.500 0.000 0.732
0.000 0.500 0.268
0.000 0.000 0.000
0.500 0.500 0.500

PBE Li2PrCd4, optimized geometry; ρ = 6.55 g cm⁻³; E above lowest polymorph = 9.3 kJ per mole of atoms; ΔH_f (0 K) = -0.199 eV/atom
1.0
-0.191 -2.751 -3.276
3.559 -5.977 4.811
-7.664 -2.508 2.554
Li Cd Pr
4 8 2
direct
0.000 0.219 0.781
0.500 0.281 0.281
0.000 0.781 0.219
0.500 0.719 0.719
0.000 0.916 0.665
0.000 0.335 0.084
0.500 0.416 0.835
0.000 0.665 0.916
0.000 0.084 0.335
0.500 0.835 0.416
0.500 0.584 0.165
0.500 0.165 0.584
0.000 0.500 0.500
0.500 0.000 0.000

PBE Li2PrCd2, optimized geometry; ρ = 5.38 g cm⁻³; E above lowest polymorph = 2.4 kJ per mole of atoms; ΔH_f (0 K) = -0.209 eV/atom
1.0
3.387 0.000 0.000
0.000 4.906 -0.387
-1.693 -1.841 7.194
Pr Li Cd
1 2 2
direct
0.000 0.000 0.000
0.725 0.222 0.449
0.275 0.778 0.551
0.389 0.390 0.777
0.611 0.610 0.223